Here is BaInIr2 at its PBEsol-relaxed geometry from Alexandria. Energies are from meta-GGA SCAN.

As for the crystal system: tetragonal. The value obtained for the formation energy is 0.54 eV per atom. As for the space group: P4/mmm, No. 123.

a b c (Å): 4.5596 4.5596 3.8872
angles (deg): 90.00 90.00 90.00
Element x y z (fractional)
Ba 0.0000 0.0000 0.0000
In 0.5000 0.5000 0.0000
Ir 0.0000 0.5000 0.5000
Ir 0.5000 0.0000 0.5000

=====

Here is BaIn2Ir at its PBEsol-relaxed geometry from Alexandria. Energies are from meta-GGA SCAN.

As for the crystal system: trigonal. The value obtained for the formation energy is -0.39 eV per atom. As for the space group: R3m, No. 160.

a b c (Å): 6.4887 6.4887 6.4887
angles (deg): 41.92 41.92 41.92
Element x y z (fractional)
Ba 0.0000 0.0000 0.0000
In 0.2025 0.2025 0.2025
In 0.4608 0.4608 0.4608
Ir 0.8170 0.8170 0.8170

=====

Here is K2BaInIr at its PBEsol-relaxed geometry from Alexandria. Energies are from meta-GGA SCAN.

As for the crystal system: tetragonal. The value obtained for the formation energy is 0.44 eV per atom. As for the space group: P4/mmm, No. 123.

a b c (Å): 6.0734 6.0734 5.5918
angles (deg): 90.00 90.00 90.00
Element x y z (fractional)
K 0.0000 0.5000 0.0000
K 0.5000 0.0000 0.0000
Ba 0.0000 0.0000 0.5000
In 0.5000 0.5000 0.5000
Ir 0.0000 0.0000 0.0000

=====

Here is KBaIn4 at its PBEsol-relaxed geometry from Alexandria. Energies are from meta-GGA SCAN.

As for the crystal system: cubic. The value obtained for the formation energy is -0.40 eV per atom. As for the space group: F-43m, No. 216.

a b c (Å): 6.2911 6.2911 6.2911
angles (deg): 60.00 60.00 60.00
Element x y z (fractional)
K 0.0000 0.0000 0.0000
Ba 0.7500 0.7500 0.7500
In 0.3751 0.3751 0.3751
In 0.3751 0.3751 0.8746
In 0.3751 0.8746 0.3751
In 0.8746 0.3751 0.3751

=====

Here is KBa2In at its PBEsol-relaxed geometry from Alexandria. Energies are from meta-GGA SCAN.

As for the crystal system: monoclinic. The value obtained for the formation energy is -0.29 eV per atom. As for the space group: P2/m, No. 10.

a b c (Å): 4.2470 4.2467 11.0360
angles (deg): 90.00 90.09 90.00
Element x y z (fractional)
K 0.0000 0.0000 0.0000
Ba 0.4992 0.5000 0.3250
Ba 0.5008 0.5000 0.6750
In 0.0000 0.0000 0.5000

=====

Here is K2BaIn at its PBEsol-relaxed geometry from Alexandria. Energies are from meta-GGA SCAN.

As for the crystal system: tetragonal. The value obtained for the formation energy is -0.15 eV per atom. As for the space group: P4mm, No. 99.

a b c (Å): 4.2739 4.2739 11.0848
angles (deg): 90.00 90.00 90.00
Element x y z (fractional)
K 0.0000 0.0000 0.0000
K 0.5000 0.5000 0.3259
Ba 0.0000 0.0000 0.6395
In 0.5000 0.5000 0.7996

=====

Here is KBa2In at its PBEsol-relaxed geometry from Alexandria. Energies are from meta-GGA SCAN.

As for the crystal system: tetragonal. The value obtained for the formation energy is -0.14 eV per atom. As for the space group: P4/mmm, No. 123.

a b c (Å): 6.0764 6.0764 4.6634
angles (deg): 90.00 90.00 90.00
Element x y z (fractional)
K 0.0000 0.0000 0.0000
Ba 0.0000 0.5000 0.5000
Ba 0.5000 0.0000 0.5000
In 0.5000 0.5000 0.0000

=====

Here is KBa2In at its PBEsol-relaxed geometry from Alexandria. Energies are from meta-GGA SCAN.

As for the crystal system: tetragonal. The value obtained for the formation energy is -0.11 eV per atom. As for the space group: P4mm, No. 99.

a b c (Å): 4.2624 4.2624 10.7534
angles (deg): 90.00 90.00 90.00
Element x y z (fractional)
K 0.0000 0.0000 0.0000
Ba 0.0000 0.0000 0.3715
Ba 0.5000 0.5000 0.6736
In 0.5000 0.5000 0.2024

=====

Here is BaLaIn2 at its PBEsol-relaxed geometry from Alexandria. Energies are from meta-GGA SCAN.

As for the crystal system: orthorhombic. The value obtained for the formation energy is -0.55 eV per atom. As for the space group: Pmm2, No. 25.

a b c (Å): 3.8987 5.3560 5.9429
angles (deg): 90.00 90.00 90.00
Element x y z (fractional)
Ba 0.0000 0.0000 0.0000
La 0.0000 0.5000 0.6243
In 0.5000 0.0000 0.4912
In 0.5000 0.5000 0.1624

=====

Here is BaLaIn2 at its PBEsol-relaxed geometry from Alexandria. Energies are from meta-GGA SCAN.

As for the crystal system: orthorhombic. The value obtained for the formation energy is -0.52 eV per atom. As for the space group: Cmmm, No. 65.

a b c (Å): 5.9854 5.9854 3.6253
angles (deg): 90.00 90.00 102.90
Element x y z (fractional)
Ba 0.0000 0.0000 0.0000
La 0.5000 0.5000 0.0000
In 0.0000 0.5000 0.5000
In 0.5000 0.0000 0.5000

=====

Here is BaLa2In at its PBEsol-relaxed geometry from Alexandria. Energies are from meta-GGA SCAN.

As for the crystal system: orthorhombic. The value obtained for the formation energy is -0.23 eV per atom. As for the space group: Pmmm, No. 47.

a b c (Å): 3.7640 4.5864 8.0154
angles (deg): 90.00 90.00 90.00
Element x y z (fractional)
Ba 0.0000 0.0000 0.0000
La 0.5000 0.5000 0.3033
La 0.5000 0.5000 0.6967
In 0.0000 0.0000 0.5000

=====

Here is BaLaIn2 at its PBEsol-relaxed geometry from Alexandria. Energies are from meta-GGA SCAN.

As for the crystal system: monoclinic. The value obtained for the formation energy is -0.26 eV per atom. As for the space group: P2/m, No. 10.

a b c (Å): 5.7289 3.8222 6.8817
angles (deg): 90.00 112.82 90.00
Element x y z (fractional)
Ba 0.0000 0.0000 0.0000
La 0.5000 0.5000 0.5000
In 0.0000 0.0000 0.5000
In 0.5000 0.5000 0.0000

=====

Here is BaLaIn2 at its PBEsol-relaxed geometry from Alexandria. Energies are from meta-GGA SCAN.

As for the crystal system: tetragonal. The value obtained for the formation energy is -0.61 eV per atom. As for the space group: P4/mmm, No. 123.

a b c (Å): 4.0319 4.0319 8.0799
angles (deg): 90.00 90.00 90.00
Element x y z (fractional)
Ba 0.0000 0.0000 0.0000
La 0.0000 0.0000 0.5000
In 0.5000 0.5000 0.2824
In 0.5000 0.5000 0.7176

=====

Here is BaLaIn2 at its PBEsol-relaxed geometry from Alexandria. Energies are from meta-GGA SCAN.

As for the crystal system: tetragonal. The value obtained for the formation energy is -0.38 eV per atom. As for the space group: I-4m2, No. 119.

a b c (Å): 6.2777 6.2777 6.2777
angles (deg): 134.61 134.61 66.14
Element x y z (fractional)
Ba 0.0000 0.0000 0.0000
La 0.2500 0.7500 0.5000
In 0.5000 0.5000 0.0000
In 0.7500 0.2500 0.5000

=====

Here is BaLaIn2 at its PBEsol-relaxed geometry from Alexandria. Energies are from meta-GGA SCAN.

As for the crystal system: orthorhombic. The value obtained for the formation energy is -0.26 eV per atom. As for the space group: Pmm2, No. 25.

a b c (Å): 3.7844 5.1288 6.9392
angles (deg): 90.00 90.00 90.00
Element x y z (fractional)
Ba 0.0000 0.0000 0.0000
La 0.5000 0.5000 0.6483
In 0.0000 0.0000 0.4926
In 0.5000 0.5000 0.1953

=====

Here is BaLaIn2 at its PBEsol-relaxed geometry from Alexandria. Energies are from meta-GGA SCAN.

As for the crystal system: orthorhombic. The value obtained for the formation energy is -0.60 eV per atom. As for the space group: Pmmm, No. 47.

a b c (Å): 3.6741 4.6482 7.5897
angles (deg): 90.00 90.00 90.00
Element x y z (fractional)
Ba 0.0000 0.0000 0.0000
La 0.0000 0.0000 0.5000
In 0.5000 0.5000 0.2888
In 0.5000 0.5000 0.7112

=====

Here is BaLi4In at its PBEsol-relaxed geometry from Alexandria. Energies are from meta-GGA SCAN.

As for the crystal system: cubic. The value obtained for the formation energy is -0.19 eV per atom. As for the space group: F-43m, No. 216.

a b c (Å): 5.8347 5.8347 5.8347
angles (deg): 60.00 60.00 60.00
Element x y z (fractional)
Ba 0.0000 0.0000 0.0000
Li 0.1357 0.6214 0.6214
Li 0.6214 0.1357 0.6214
Li 0.6214 0.6214 0.1357
Li 0.6214 0.6214 0.6214
In 0.2500 0.2500 0.2500

=====

Here is Ba3LiIn11 at its PBEsol-relaxed geometry from Alexandria. Energies are from meta-GGA SCAN.

As for the crystal system: hexagonal. The value obtained for the formation energy is -0.48 eV per atom. As for the space group: P6_3/mmc, No. 194.

a b c (Å): 10.0382 10.0382 9.9017
angles (deg): 90.00 90.00 120.00
Element x y z (fractional)
Ba 0.0096 0.5048 0.2500
Ba 0.4952 0.5048 0.2500
Ba 0.4952 0.9904 0.2500
Ba 0.5048 0.0096 0.7500
Ba 0.5048 0.4952 0.7500
Ba 0.9904 0.4952 0.7500
Li 0.0000 0.0000 0.0000
Li 0.0000 0.0000 0.5000
In 0.1022 0.2044 0.2500
In 0.1022 0.8978 0.2500
In 0.1707 0.3413 0.5331
In 0.1707 0.3413 0.9669
In 0.1707 0.8293 0.5331
In 0.1707 0.8293 0.9669
In 0.2044 0.1022 0.7500
In 0.3333 0.6667 0.0280
In 0.3333 0.6667 0.4720
In 0.3413 0.1707 0.0331
In 0.3413 0.1707 0.4669
In 0.6587 0.8293 0.5331
In 0.6587 0.8293 0.9669
In 0.6667 0.3333 0.5280
In 0.6667 0.3333 0.9720
In 0.7956 0.8978 0.2500
In 0.8293 0.1707 0.0331
In 0.8293 0.1707 0.4669
In 0.8293 0.6587 0.0331
In 0.8293 0.6587 0.4669
In 0.8978 0.1022 0.7500
In 0.8978 0.7956 0.7500

=====

Here is Ba2LiIn2 at its PBEsol-relaxed geometry from Alexandria. Energies are from meta-GGA SCAN.

As for the crystal system: tetragonal. The value obtained for the formation energy is -0.25 eV per atom. As for the space group: I4/mmm, No. 139.

a b c (Å): 6.4130 6.4130 6.4130
angles (deg): 115.93 115.93 97.21
Element x y z (fractional)
Ba 0.2500 0.7500 0.5000
Ba 0.7500 0.2500 0.5000
Li 0.0000 0.0000 0.0000
In 0.3399 0.3399 0.0000
In 0.6601 0.6601 0.0000

=====

Here is Ba2MgIn at its PBEsol-relaxed geometry from Alexandria. Energies are from meta-GGA SCAN.

As for the crystal system: cubic. The value obtained for the formation energy is -0.31 eV per atom. As for the space group: Fm-3m, No. 225.

a b c (Å): 5.9651 5.9651 5.9651
angles (deg): 60.00 60.00 60.00
Element x y z (fractional)
Ba 0.2500 0.2500 0.2500
Ba 0.7500 0.7500 0.7500
Mg 0.0000 0.0000 0.0000
In 0.5000 0.5000 0.5000